{
  "formula": "AsIrSe2",
  "functional": "PBE-GGA",
  "state": "relaxed",
  "vol_a3_per_atom": 21.5,
  "raw_formation_energy_ev_per_atom": 0.3263,
  "dos_at_fermi_per_ev_atom": 0.574,
  "spacegroup": "No. 166",
  "lattice_angstrom": [[1.635, 0.000, 12.404], [-0.818, 1.416, 12.404], [-0.818, -1.416, 12.404]],
  "species": ["Se", "Se", "Ir", "As"],
  "fractional_positions": [[0.935, 0.935, 0.935], [0.065, 0.065, 0.065], [0.000, 0.000, 0.000], [0.500, 0.500, 0.500]]
}